MnZnCo4: relaxed, PBE.

Cell and atoms, written as CIF:
```
data_MnZnCo4
_chemical_formula_sum 'Mn4 Zn4 Co16'
_space_group_name_H-M_alt 'F -4 3 m'
_space_group_IT_number 216
_space_group_name_Hall 'F -4 2 3'
_cell_length_a 6.660
_cell_length_b 6.660
_cell_length_c 6.660
_cell_angle_alpha 90.00
_cell_angle_beta 90.00
_cell_angle_gamma 90.00
loop_
_atom_site_label
_atom_site_type_symbol
_atom_site_fract_x
_atom_site_fract_y
_atom_site_fract_z
Mn1 Mn 0.000 0.000 0.000
Zn1 Zn 0.250 0.250 0.750
Co1 Co 0.125 0.125 0.375
```

Energy relative to the elements: 0.079 eV/atom
Relative energy among the computed polymorphs: 12 meV per atom
Uncorrected energy: -6.40 eV per atom
Crystal system: cubic